{
  "formula": "Tl3V2NiO8",
  "functional": "GGA+U",
  "state": "optimized geometry",
  "cell": [[5.7838, 0.0000, 0.0000], [-2.8919, 5.0089, 0.0000], [0.0000, 0.0000, 7.4735]],
  "species": ["Tl", "Tl", "Tl", "V", "V", "Ni", "O", "O", "O", "O", "O", "O", "O", "O"],
  "frac_coords": [[0.0000, 0.0000, 0.0000], [0.3333, 0.6667, 0.6947], [0.6667, 0.3333, 0.3053], [0.3333, 0.6667, 0.2533], [0.6667, 0.3333, 0.7467], [0.0000, 0.0000, 0.5000], [0.1677, 0.3355, 0.3326], [0.1677, 0.8323, 0.3326], [0.3333, 0.6667, 0.0249], [0.3355, 0.1677, 0.6674], [0.6645, 0.8323, 0.3326], [0.6667, 0.3333, 0.9751], [0.8323, 0.1677, 0.6674], [0.8323, 0.6645, 0.6674]],
  "final_energy_ev_per_atom": -5.9219
}